Model a:
# La7Tb2Nd3 | the Alexandria database | GGA-PBE | relaxed
data_La7Tb2Nd3
_space_group_name_H-M_alt 'P 1'
_space_group_IT_number 1
_space_group_name_Hall 'P 1'
_cell_length_a 3.6489
_cell_length_b 6.0335
_cell_length_c 20.1247
_cell_angle_alpha 103.92
_cell_angle_beta 90.00
_cell_angle_gamma 90.00
loop_
_atom_site_label
_atom_site_type_symbol
_atom_site_fract_x
_atom_site_fract_y
_atom_site_fract_z
La1 La 0.0000 0.0000 0.0000
La2 La 0.5000 0.2770 0.5337
La3 La 0.0000 0.4721 0.1467
La4 La 0.5000 0.9944 0.8171
La5 La 0.5000 0.0056 0.1829
La6 La 0.5000 0.7230 0.4663
La7 La 0.0000 0.5279 0.8533
Nd1 Nd 0.5000 0.5000 0.0000
Nd2 Nd 0.0000 0.8535 0.6357
Nd3 Nd 0.0000 0.1465 0.3643
Tb1 Tb 0.5000 0.5906 0.2975
Tb2 Tb 0.5000 0.4094 0.7025
# M_tot, μB/cell: 0.000
# Space-group type: P2/m (10)

Model b:
# La7Tb2Nd3 | the Alexandria database | GGA-PBE | relaxed
data_La7Tb2Nd3
_space_group_name_H-M_alt 'P 1'
_space_group_IT_number 1
_space_group_name_Hall 'P 1'
_cell_length_a 3.6091
_cell_length_b 6.6036
_cell_length_c 18.5716
_cell_angle_alpha 75.14
_cell_angle_beta 90.00
_cell_angle_gamma 90.00
loop_
_atom_site_label
_atom_site_type_symbol
_atom_site_fract_x
_atom_site_fract_y
_atom_site_fract_z
La1 La 0.0000 0.4410 0.8314
La2 La 0.5000 0.0501 0.1715
La3 La 0.0000 0.5590 0.1686
La4 La 0.0000 0.0000 0.0000
La5 La 0.5000 0.7690 0.4911
La6 La 0.5000 0.2310 0.5089
La7 La 0.5000 0.9499 0.8285
Tb1 Tb 0.5000 0.3884 0.6691
Tb2 Tb 0.5000 0.6116 0.3309
Nd1 Nd 0.0000 0.1187 0.3365
Nd2 Nd 0.5000 0.5000 0.0000
Nd3 Nd 0.0000 0.8813 0.6635
# M_tot, μB/cell: 0.000
# Space-group type: P2/m (10)

How far above the most stable structure does each one sit? In kJ/mol of atoms: model a 1.8; model b 0.0.

Model a:
# La2Tb3Nd5 | the Alexandria database | GGA-PBE | relaxed
data_La2Tb3Nd5
_space_group_name_H-M_alt 'P 1'
_space_group_IT_number 1
_space_group_name_Hall 'P 1'
_cell_length_a 8.2149
_cell_length_b 10.8486
_cell_length_c 10.8486
_cell_angle_alpha 54.35
_cell_angle_beta 67.75
_cell_angle_gamma 67.75
loop_
_atom_site_label
_atom_site_type_symbol
_atom_site_fract_x
_atom_site_fract_y
_atom_site_fract_z
La1 La 0.8839 0.2293 0.0029
La2 La 0.3839 0.0029 0.2293
La3 La 0.1161 0.7707 0.9971
La4 La 0.6161 0.9971 0.7707
Nd1 Nd 0.5116 0.2384 0.2384
Nd2 Nd 0.4884 0.7616 0.7616
Nd3 Nd 0.1339 0.4634 0.2689
Nd4 Nd 0.8661 0.5366 0.7311
Nd5 Nd 0.2500 0.5000 0.5000
Nd6 Nd 0.3661 0.7311 0.5366
Nd7 Nd 0.7500 0.5000 0.5000
Nd8 Nd 0.9884 0.7616 0.7616
Nd9 Nd 0.6339 0.2689 0.4634
Nd10 Nd 0.0116 0.2384 0.2384
Tb1 Tb 0.7500 0.0000 0.0000
Tb2 Tb 0.1212 0.1278 0.6298
Tb3 Tb 0.2500 0.0000 0.0000
Tb4 Tb 0.6212 0.6298 0.1278
Tb5 Tb 0.8788 0.8722 0.3702
Tb6 Tb 0.3788 0.3702 0.8722
# M_tot, μB/cell: 0.000
# Space-group type: Ibam (72)

Model b:
# La2Tb3Nd5 | the Alexandria database | GGA-PBE | relaxed
data_La2Tb3Nd5
_space_group_name_H-M_alt 'P 1'
_space_group_IT_number 1
_space_group_name_Hall 'P 1'
_cell_length_a 9.7640
_cell_length_b 9.7885
_cell_length_c 9.6343
_cell_angle_alpha 109.21
_cell_angle_beta 109.11
_cell_angle_gamma 110.68
loop_
_atom_site_label
_atom_site_type_symbol
_atom_site_fract_x
_atom_site_fract_y
_atom_site_fract_z
Tb1 Tb 0.2327 0.7781 0.2441
Tb2 Tb 0.7283 0.9783 0.9566
Tb3 Tb 0.2717 0.0217 0.0434
Tb4 Tb 0.7673 0.2219 0.7559
Tb5 Tb 0.4886 0.5341 0.7559
Tb6 Tb 0.5114 0.4659 0.2441
Nd1 Nd 0.8890 0.6160 0.7629
Nd2 Nd 0.5221 0.7721 0.5443
Nd3 Nd 0.0186 0.2686 0.5372
Nd4 Nd 0.1110 0.3840 0.2371
Nd5 Nd 0.3738 0.1469 0.7629
Nd6 Nd 0.4779 0.2279 0.4557
Nd7 Nd 0.9814 0.7314 0.4628
Nd8 Nd 0.7817 0.5317 0.0634
Nd9 Nd 0.2183 0.4683 0.9366
Nd10 Nd 0.6262 0.8531 0.2371
La1 La 0.7159 0.2706 0.2479
La2 La 0.0319 0.9772 0.2479
La3 La 0.9681 0.0228 0.7521
La4 La 0.2841 0.7294 0.7521
# M_tot, μB/cell: 0.000
# Space-group type: C2/c (15)

How far above the most stable structure does each one sit? In kJ/mol of atoms: model a 21.8; model b 0.0.